! Nd2TiSe5 PBE optimized geometry; values from VASP
&SYSTEM
  ibrav = 0, nat = 16, ntyp = 3
/
ATOMIC_SPECIES
Nd 144.24 Nd.upf
Ti 47.87 Ti.upf
Se 78.96 Se.upf
ATOMIC_POSITIONS crystal
Nd 0.153 0.847 0.567
Nd 0.153 0.847 0.933
Nd 0.847 0.153 0.067
Nd 0.847 0.153 0.433
Ti 0.173 0.827 0.250
Ti 0.827 0.173 0.750
Se 0.047 0.953 0.124
Se 0.047 0.953 0.376
Se 0.283 0.717 0.750
Se 0.299 0.701 0.098
Se 0.299 0.701 0.402
Se 0.701 0.299 0.598
Se 0.701 0.299 0.902
Se 0.717 0.283 0.250
Se 0.953 0.047 0.624
Se 0.953 0.047 0.876
CELL_PARAMETERS angstrom
2.762 -7.083 0.000
2.762 7.083 0.000
0.000 0.000 13.246
! Formation energy without anion corrections in eV per atom: -1.430
! Magnetization in μB per atom: 0.00
! Theoretical density in g/cm3: 4.69
! Total DFT energy (no corrections) in eV for the cell shown: -92.6
! Symmetry: Cmcm, No. 63



! NdTiSe3 PBE optimized geometry; values from VASP
&SYSTEM
  ibrav = 0, nat = 20, ntyp = 3
/
ATOMIC_SPECIES
Nd 144.24 Nd.upf
Ti 47.87 Ti.upf
Se 78.96 Se.upf
ATOMIC_POSITIONS crystal
Nd 0.112 0.216 0.054
Nd 0.112 0.284 0.554
Nd 0.888 0.716 0.446
Nd 0.888 0.784 0.946
Ti 0.330 0.606 0.922
Ti 0.330 0.894 0.422
Ti 0.670 0.106 0.578
Ti 0.670 0.394 0.078
Se 0.020 0.512 0.793
Se 0.020 0.988 0.293
Se 0.258 0.671 0.610
Se 0.258 0.829 0.110
Se 0.381 0.218 0.448
Se 0.381 0.282 0.948
Se 0.619 0.718 0.052
Se 0.619 0.782 0.552
Se 0.742 0.171 0.890
Se 0.742 0.329 0.390
Se 0.980 0.012 0.707
Se 0.980 0.488 0.207
CELL_PARAMETERS angstrom
9.270 0.000 0.000
0.000 7.602 0.000
-3.815 0.000 7.575
! Relative energy among the computed polymorphs in meV per atom: 62.5
! Formation energy without anion corrections in eV per atom: -1.430
! Magnetization in μB per atom: 0.20
! Theoretical density in g/cm3: 5.34
! Total DFT energy (no corrections) in eV for the cell shown: -121.1
! Symmetry: P2_1/c, No. 14
! Density of states at the Fermi level in states/eV per atom: 0.24